1.
# LiNdTmFe, optimized geometry, DFT GGA-PBE
# * total DFT energy (no corrections): -19.122 eV per formula unit
# * calculated formation energy: 123.4 meV/atom
data_LiNdTmFe
_chemical_formula_sum 'Li4 Nd4 Tm4 Fe4'
_space_group_name_H-M_alt 'F -4 3 m'
_space_group_IT_number 216
_space_group_name_Hall 'F -4 2 3'
_cell_length_a 6.954
_cell_length_b 6.954
_cell_length_c 6.954
_cell_angle_alpha 90.00
_cell_angle_beta 90.00
_cell_angle_gamma 90.00
loop_
_atom_site_label
_atom_site_fract_x
_atom_site_fract_y
_atom_site_fract_z
Li1 0.000 0.000 0.000
Nd1 0.250 0.250 0.750
Tm1 0.250 0.250 0.250
Fe1 0.000 0.000 0.500

2.
# Li2Fe2Ni5, optimized geometry, DFT GGA-PBE
# * total DFT energy (no corrections): -48.918 eV per formula unit
# * calculated formation energy: 82.4 meV/atom
data_Li2Fe2Ni5
_chemical_formula_sum 'Li4 Fe4 Ni10'
_space_group_name_H-M_alt 'C 1 2/m 1'
_space_group_IT_number 12
_cell_length_a 11.689
_cell_length_b 2.436
_cell_length_c 7.312
_cell_angle_alpha 90.00
_cell_angle_beta 100.55
_cell_angle_gamma 90.00
loop_
_space_group_symop_operation_xyz
'x,y,z'
'-x,-y,-z'
'-x,y,-z'
'x,-y,z'
'x+1/2,y+1/2,z'
'-x+1/2,-y+1/2,-z'
'-x+1/2,y+1/2,-z'
'x+1/2,-y+1/2,z'
loop_
_atom_site_label
_atom_site_fract_x
_atom_site_fract_y
_atom_site_fract_z
Li1 0.170 0.000 0.393
Fe1 0.006 0.500 0.822
Ni1 0.000 0.000 0.500
Ni2 0.160 0.000 0.065
Ni3 0.176 0.000 0.739

3.
# LiFe2Ni9, optimized geometry, DFT GGA-PBE
# * total DFT energy (no corrections): -71.531 eV per formula unit
# * calculated formation energy: -55.0 meV/atom
data_LiFe2Ni9
_chemical_formula_sum 'Li1 Fe2 Ni9'
_space_group_name_H-M_alt 'P 4/m m m'
_space_group_IT_number 123
_space_group_name_Hall '-P 4 2'
_cell_length_a 3.540
_cell_length_b 3.540
_cell_length_c 10.506
_cell_angle_alpha 90.00
_cell_angle_beta 90.00
_cell_angle_gamma 90.00
loop_
_atom_site_label
_atom_site_fract_x
_atom_site_fract_y
_atom_site_fract_z
Li1 0.000 0.000 0.000
Fe1 0.000 0.000 0.330
Ni1 0.000 0.500 0.167
Ni2 0.000 0.500 0.500
Ni3 0.500 0.500 0.000
Ni4 0.500 0.500 0.334

4.
# Li4FeNi, optimized geometry, DFT GGA-PBE
# * total DFT energy (no corrections): -19.633 eV per formula unit
# * calculated formation energy: 377.7 meV/atom
data_Li4FeNi
_chemical_formula_sum 'Li16 Fe4 Ni4'
_space_group_name_H-M_alt 'F -4 3 m'
_space_group_IT_number 216
_space_group_name_Hall 'F -4 2 3'
_cell_length_a 6.723
_cell_length_b 6.723
_cell_length_c 6.723
_cell_angle_alpha 90.00
_cell_angle_beta 90.00
_cell_angle_gamma 90.00
loop_
_atom_site_label
_atom_site_fract_x
_atom_site_fract_y
_atom_site_fract_z
Li1 0.124 0.124 0.124
Fe1 0.000 0.000 0.500
Ni1 0.250 0.250 0.750

5.
# Li2FeNi2, optimized geometry, DFT GGA-PBE
# * total DFT energy (no corrections): -22.223 eV per formula unit
# * energy above the most stable polymorph in this dataset: 0 meV per atom
# * calculated formation energy: 326.0 meV/atom
data_Li2FeNi2
_chemical_formula_sum 'Li4 Fe2 Ni4'
_space_group_name_H-M_alt 'I 4/m m m'
_space_group_IT_number 139
_space_group_name_Hall '-I 4 2'
_cell_length_a 3.096
_cell_length_b 3.096
_cell_length_c 12.792
_cell_angle_alpha 90.00
_cell_angle_beta 90.00
_cell_angle_gamma 90.00
loop_
_atom_site_label
_atom_site_fract_x
_atom_site_fract_y
_atom_site_fract_z
Li1 0.000 0.500 0.250
Fe1 0.000 0.000 0.000
Ni1 0.000 0.000 0.406

6.
# LiFe2Ni, optimized geometry, DFT GGA-PBE
# * total DFT energy (no corrections): -24.207 eV per formula unit
# * calculated formation energy: 103.5 meV/atom
data_LiFe2Ni
_chemical_formula_sum 'Li3 Fe6 Ni3'
_space_group_name_H-M_alt 'R -3 m'
_space_group_IT_number 166
_space_group_name_Hall '-R 3 2"'
_cell_length_a 2.5185
_cell_length_b 2.5185
_cell_length_c 26.0644
_cell_angle_alpha 90.00
_cell_angle_beta 90.00
_cell_angle_gamma 120.00
loop_
_atom_site_label
_atom_site_fract_x
_atom_site_fract_y
_atom_site_fract_z
Li1 0.0000 0.0000 0.0000
Fe1 0.0000 0.0000 0.2456
Ni1 0.0000 0.0000 0.5000

7.
# Li2FeNi2, optimized geometry, DFT GGA-PBE
# * total DFT energy (no corrections): -22.042 eV per formula unit
# * energy above the most stable polymorph in this dataset: 36 meV per atom
# * calculated formation energy: 362.2 meV/atom
data_Li2FeNi2
_chemical_formula_sum 'Li4 Fe2 Ni4'
_space_group_name_H-M_alt 'P 4/m b m'
_space_group_IT_number 127
_space_group_name_Hall '-P 4 2ab'
_cell_length_a 6.528
_cell_length_b 6.528
_cell_length_c 2.488
_cell_angle_alpha 90.00
_cell_angle_beta 90.00
_cell_angle_gamma 90.00
loop_
_atom_site_label
_atom_site_fract_x
_atom_site_fract_y
_atom_site_fract_z
Li1 0.113 0.387 0.000
Fe1 0.000 0.000 0.000
Ni1 0.191 0.691 0.500

8.
# LiFe2Ni6, optimized geometry, DFT GGA-PBE
# * total DFT energy (no corrections): -52.614 eV per formula unit
# * energy above the most stable polymorph in this dataset: 72 meV per atom
# * calculated formation energy: 101.4 meV/atom
data_LiFe2Ni6
_chemical_formula_sum 'Li2 Fe4 Ni12'
_space_group_name_H-M_alt 'C 1 2/m 1'
_space_group_IT_number 12
_cell_length_a 7.293
_cell_length_b 4.921
_cell_length_c 6.053
_cell_angle_alpha 90.00
_cell_angle_beta 107.29
_cell_angle_gamma 90.00
loop_
_space_group_symop_operation_xyz
'x,y,z'
'-x,-y,-z'
'-x,y,-z'
'x,-y,z'
'x+1/2,y+1/2,z'
'-x+1/2,-y+1/2,-z'
'-x+1/2,y+1/2,-z'
'x+1/2,-y+1/2,z'
loop_
_atom_site_label
_atom_site_fract_x
_atom_site_fract_y
_atom_site_fract_z
Li1 0.000 0.000 0.000
Fe1 0.170 0.500 0.086
Ni1 0.054 0.261 0.707
Ni2 0.239 0.000 0.487

9.
# LiFe2Ni, optimized geometry, DFT GGA-PBE
# * total DFT energy (no corrections): -24.085 eV per formula unit
# * calculated formation energy: 133.8 meV/atom
data_LiFe2Ni
_chemical_formula_sum 'Li1 Fe2 Ni1'
_space_group_name_H-M_alt 'P 4/m m m'
_space_group_IT_number 123
_space_group_name_Hall '-P 4 2'
_cell_length_a 3.552
_cell_length_b 3.552
_cell_length_c 3.663
_cell_angle_alpha 90.00
_cell_angle_beta 90.00
_cell_angle_gamma 90.00
loop_
_atom_site_label
_atom_site_fract_x
_atom_site_fract_y
_atom_site_fract_z
Li1 0.000 0.000 0.000
Fe1 0.000 0.500 0.500
Ni1 0.500 0.500 0.000

10.
# Li2FeNi4, optimized geometry, DFT GGA-PBE
# * total DFT energy (no corrections): -35.249 eV per formula unit
# * calculated formation energy: 23.9 meV/atom
data_Li2FeNi4
_chemical_formula_sum 'Li4 Fe2 Ni8'
_space_group_name_H-M_alt 'C 1 2/m 1'
_space_group_IT_number 12
_cell_length_a 7.850
_cell_length_b 3.562
_cell_length_c 5.764
_cell_angle_alpha 90.00
_cell_angle_beta 100.19
_cell_angle_gamma 90.00
loop_
_space_group_symop_operation_xyz
'x,y,z'
'-x,-y,-z'
'-x,y,-z'
'x,-y,z'
'x+1/2,y+1/2,z'
'-x+1/2,-y+1/2,-z'
'-x+1/2,y+1/2,-z'
'x+1/2,-y+1/2,z'
loop_
_atom_site_label
_atom_site_fract_x
_atom_site_fract_y
_atom_site_fract_z
Li1 0.149 0.000 0.435
Fe1 0.000 0.000 0.000
Ni1 0.062 0.500 0.719
Ni2 0.218 0.500 0.130

11.
# LiFe2Ni, optimized geometry, DFT GGA-PBE
# * total DFT energy (no corrections): -24.028 eV per formula unit
# * calculated formation energy: 148.1 meV/atom
data_LiFe2Ni
_chemical_formula_sum 'Li2 Fe4 Ni2'
_space_group_name_H-M_alt 'C m m m'
_space_group_IT_number 65
_space_group_name_Hall '-C 2 2'
_cell_length_a 2.704
_cell_length_b 4.095
_cell_length_c 8.630
_cell_angle_alpha 90.00
_cell_angle_beta 90.00
_cell_angle_gamma 90.00
loop_
_atom_site_label
_atom_site_fract_x
_atom_site_fract_y
_atom_site_fract_z
Li1 0.000 0.000 0.000
Fe1 0.000 0.500 0.262
Ni1 0.000 0.000 0.500

12.
# LiFeNi3, optimized geometry, DFT GGA-PBE
# * total DFT energy (no corrections): -23.750 eV per formula unit
# * energy above the most stable polymorph in this dataset: 801 meV per atom
# * calculated formation energy: 794.0 meV/atom
data_LiFeNi3
_chemical_formula_sum 'Li1 Fe1 Ni3'
_space_group_name_H-M_alt 'P m -3 m'
_space_group_IT_number 221
_space_group_name_Hall '-P 4 2 3'
_cell_length_a 4.331
_cell_length_b 4.331
_cell_length_c 4.331
_cell_angle_alpha 90.00
_cell_angle_beta 90.00
_cell_angle_gamma 90.00
loop_
_atom_site_label
_atom_site_fract_x
_atom_site_fract_y
_atom_site_fract_z
Li1 0.000 0.000 0.000
Fe1 0.500 0.500 0.500
Ni1 0.000 0.500 0.500